## VCdTeF2 (PBE with a Hubbard U)

Data for a relaxed VCdTeF2 crystal.

Structure (CIF):
```
data_VCdTeF2
_chemical_formula_sum 'V1 Cd1 Te1 F2'
_space_group_name_H-M_alt 'P 4/m m m'
_space_group_IT_number 123
_space_group_name_Hall '-P 4 2'
_cell_length_a 4.136
_cell_length_b 4.136
_cell_length_c 5.948
_cell_angle_alpha 90.00
_cell_angle_beta 90.00
_cell_angle_gamma 90.00
loop_
_atom_site_label
_atom_site_fract_x
_atom_site_fract_y
_atom_site_fract_z
V1 0.000 0.000 0.000
Cd1 0.500 0.500 0.500
Te1 0.000 0.000 0.500
F1 0.000 0.500 0.000
```

calculated total energy = -4.6004 eV per atom
total magnetization = 2.7 Bohr magnetons per cell